# 1
The following is a PBE-GGA calculation of a relaxed structure of YMgAgBi, from Alexandria via LeMat-Bulk.

Calculated values
* magnetic moment: 0.00 μB per cell
* E_tot: -3.966 eV per atom
* DFT formation energy: -0.2682 eV/atom

a b c (Å): 7.385 7.385 7.385
angles (deg): 90.00 90.00 90.00
Space group F-43m (No. 216)
Inequivalent atoms, fractional coordinates:
Y (0.000, 0.000, 0.000)
Mg (0.000, 0.000, 0.500)
Ag (0.250, 0.250, 0.750)
Bi (0.250, 0.250, 0.250)

=====

# 2
The following is a PBE-GGA calculation of a relaxed structure of BaTlCr2, from Alexandria via LeMat-Bulk.

Calculated values
* magnetic moment: 35.83 μB per cell
* E_tot: -4.989 eV per atom
* DFT formation energy: 0.8951 eV/atom

a b c (Å): 8.583 8.583 6.824
angles (deg): 90.00 90.00 90.00
Space group I-42d (No. 122)
Inequivalent atoms, fractional coordinates:
Ba (0.000, 0.000, 0.000)
Tl (0.000, 0.000, 0.500)
Cr (0.189, 0.250, 0.625)

=====

# 3
The following is a PBE-GGA calculation of a relaxed structure of Gd2HoLu, from Alexandria via LeMat-Bulk.

Calculated values
* magnetic moment: 62.26 μB per cell
* E_tot: -9.216 eV per atom
* DFT formation energy: 0.0996 eV/atom

a b c (Å): 7.961 7.961 7.961
angles (deg): 90.00 90.00 90.00
Space group Fm-3m (No. 225)
Inequivalent atoms, fractional coordinates:
Gd (0.250, 0.250, 0.250)
Ho (0.000, 0.000, 0.000)
Lu (0.000, 0.000, 0.500)

=====

# 4
The following is a PBE-GGA calculation of a relaxed structure of AcPmS4, from Alexandria via LeMat-Bulk.

Calculated values
* magnetic moment: 0.00 μB per cell
* E_tot: -5.798 eV per atom
* formation energy (no corrections): -1569 meV per atom

a b c (Å): 10.102 10.948 7.381
angles (deg): 90.00 129.24 90.00
Space group C2/c (No. 15)
Inequivalent atoms, fractional coordinates:
Ac (0.000, 0.126, 0.250)
Pm (0.000, 0.482, 0.750)
S (0.161, 0.323, 0.633)
S (0.230, 0.068, 0.765)

=====

# 5
The following is a PBE-GGA calculation of a relaxed structure of BaGaAgTe3, from Alexandria via LeMat-Bulk.

Calculated values
* magnetic moment: 0.00 μB per cell
* E_tot: -3.510 eV per atom
* formation energy (no corrections): -639 meV per atom

a b c (Å): 9.507 4.584 10.234
angles (deg): 90.00 110.44 90.00
Space group P2_1/m (No. 11)
Inequivalent atoms, fractional coordinates:
Ba (0.221, 0.250, 0.259)
Ga (0.092, 0.250, 0.634)
Ag (0.412, 0.250, 0.020)
Te (0.075, 0.250, 0.880)
Te (0.203, 0.750, 0.552)
Te (0.470, 0.750, 0.202)

=====

# 6
The following is a PBE-GGA calculation of a relaxed structure of La4AlSn, from Alexandria via LeMat-Bulk.

Calculated values
* magnetic moment: 1.44 μB per cell
* E_tot: -4.915 eV per atom
* DFT formation energy: -0.3394 eV/atom

a b c (Å): 14.715 14.715 14.715
angles (deg): 90.00 90.00 90.00
Space group F-43m (No. 216)
Inequivalent atoms, fractional coordinates:
La (0.000, 0.000, 0.192)
La (0.055, 0.250, 0.750)
La (0.126, 0.126, 0.374)
Al (0.159, 0.159, 0.159)
Sn (0.096, 0.096, 0.596)

=====

# 7
The following is a PBE-GGA calculation of a relaxed structure of K2PHO4, from Alexandria via LeMat-Bulk.

Calculated values
* magnetic moment: 0.39 μB per cell
* E_tot: -5.905 eV per atom

a b c (Å): 22.792 10.647 5.996
angles (deg): 90.00 90.00 90.00
Space group Pna2_1 (No. 33)
Inequivalent atoms, fractional coordinates:
K (0.014, 0.248, 0.006)
K (0.050, 0.598, 0.018)
K (0.100, 0.145, 0.500)
K (0.161, 0.784, 0.534)
K (0.176, 0.381, 0.009)
K (0.215, 0.019, 0.055)
P (0.072, 0.931, 0.021)
P (0.095, 0.460, 0.516)
P (0.244, 0.161, 0.556)
H (0.026, 0.988, 0.712)
H (0.163, 0.720, 0.009)
H (0.184, 0.368, 0.468)
O (0.014, 0.901, 0.144)
O (0.058, 0.922, 0.753)
O (0.073, 0.392, 0.304)
O (0.075, 0.389, 0.728)
O (0.079, 0.600, 0.522)
O (0.095, 0.064, 0.068)
O (0.119, 0.829, 0.061)
O (0.167, 0.455, 0.510)
O (0.188, 0.644, 0.972)
O (0.213, 0.248, 0.382)
O (0.218, 0.027, 0.546)
O (0.245, 0.220, 0.788)

=====

# 8
The following is a PBE-GGA calculation of a relaxed structure of KTc2Ir, from Alexandria via LeMat-Bulk.

Calculated values
* magnetic moment: 0.00 μB per cell
* E_tot: -7.070 eV per atom
* DFT formation energy: 0.6024 eV/atom

a b c (Å): 2.787 2.787 9.513
angles (deg): 90.00 90.00 90.00
Space group P4mm (No. 99)
Inequivalent atoms, fractional coordinates:
K (0.000, 0.000, 0.000)
Tc (0.000, 0.000, 0.527)
Tc (0.500, 0.500, 0.329)
Ir (0.500, 0.500, 0.712)

=====

# 9
The following is a PBE-GGA calculation of a relaxed structure of PaTiSi2, from Alexandria via LeMat-Bulk.

Calculated values
* magnetic moment: 0.00 μB per cell
* E_tot: -7.660 eV per atom
* formation energy (no corrections): -601 meV per atom

a b c (Å): 7.636 3.759 10.286
angles (deg): 90.00 90.00 90.00
Space group Pnma (No. 62)
Inequivalent atoms, fractional coordinates:
Pa (0.138, 0.250, 0.138)
Ti (0.009, 0.750, 0.396)
Si (0.160, 0.250, 0.814)
Si (0.238, 0.250, 0.439)

=====

# 10
The following is a PBE-GGA calculation of a relaxed structure of InSiOs2, from Alexandria via LeMat-Bulk.

Calculated values
* magnetic moment: 0.66 μB per cell
* E_tot: -7.008 eV per atom
* formation energy (no corrections): 647 meV per atom

a b c (Å): 2.822 4.836 10.107
angles (deg): 90.00 90.00 90.00
Space group Cmm2 (No. 35)
Inequivalent atoms, fractional coordinates:
In (0.000, 0.000, 0.000)
Si (0.000, 0.500, 0.316)
Os (0.000, 0.000, 0.519)
Os (0.000, 0.500, 0.741)

=====

# 11
The following is a PBE-GGA calculation of a relaxed structure of Dy2PuNpAs4, from Alexandria via LeMat-Bulk.

Calculated values
* magnetic moment: 1.47 μB per cell
* E_tot: -8.051 eV per atom
* DFT formation energy: -1.1663 eV/atom

a b c (Å): 7.123 4.112 7.141
angles (deg): 90.00 109.42 90.00
Space group P2/m (No. 10)
Inequivalent atoms, fractional coordinates:
Dy (0.000, 0.000, 0.000)
Dy (0.000, 0.500, 0.500)
Pu (0.500, 0.000, 0.500)
Np (0.500, 0.500, 0.000)
As (0.251, 0.000, 0.752)
As (0.252, 0.500, 0.249)

=====

# 12
The following is a PBE-GGA calculation of a relaxed structure of BeTc2Ru, from Alexandria via LeMat-Bulk.

Calculated values
* magnetic moment: 0.00 μB per cell
* E_tot: -8.520 eV per atom
* DFT formation energy: -0.0863 eV/atom

a b c (Å): 2.818 2.818 6.421
angles (deg): 90.00 90.00 90.00
Space group P4mm (No. 99)
Inequivalent atoms, fractional coordinates:
Be (0.000, 0.000, 0.000)
Tc (0.000, 0.000, 0.485)
Tc (0.500, 0.500, 0.768)
Ru (0.500, 0.500, 0.205)

=====

# 13
The following is a PBE-GGA calculation of a relaxed structure of La2InSe, from Alexandria via LeMat-Bulk.

Calculated values
* magnetic moment: 0.00 μB per cell
* E_tot: -5.033 eV per atom
* formation energy (no corrections): -1014 meV per atom

a b c (Å): 3.866 3.982 16.629
angles (deg): 90.00 90.00 90.00
Space group Imm2 (No. 44)
Inequivalent atoms, fractional coordinates:
La (0.000, 0.000, 0.000)
La (0.000, 0.500, 0.223)
In (0.000, 0.000, 0.385)
Se (0.000, 0.500, 0.644)

=====

# 14
The following is a PBE-GGA calculation of a relaxed structure of MgNb2Si2, from Alexandria via LeMat-Bulk.

Calculated values
* magnetic moment: 0.00 μB per cell
* E_tot: -6.487 eV per atom
* formation energy (no corrections): 29 meV per atom

a b c (Å): 3.471 3.471 14.702
angles (deg): 90.00 90.00 90.00
Space group I4/mmm (No. 139)
Inequivalent atoms, fractional coordinates:
Mg (0.000, 0.000, 0.000)
Nb (0.000, 0.000, 0.385)
Si (0.000, 0.500, 0.250)

=====

# 15
The following is a PBE-GGA calculation of a relaxed structure of Ce2Th2CuSi4, from Alexandria via LeMat-Bulk.

Calculated values
* magnetic moment: 4.33 μB per cell
* E_tot: -6.100 eV per atom
* formation energy (no corrections): -267 meV per atom

a b c (Å): 6.923 6.923 8.321
angles (deg): 90.00 90.00 90.00
Space group I4/mmm (No. 139)
Inequivalent atoms, fractional coordinates:
Ce (0.000, 0.000, 0.173)
Th (0.000, 0.500, 0.250)
Cu (0.000, 0.000, 0.500)
Si (0.234, 0.234, 0.500)

=====

# 16
The following is a PBE-GGA calculation of a relaxed structure of NbRhSeBr2, from Alexandria via LeMat-Bulk.

Calculated values
* magnetic moment: 2.74 μB per cell
* E_tot: -4.251 eV per atom
* formation energy (no corrections): 599 meV per atom

a b c (Å): 4.932 4.932 5.000
angles (deg): 90.00 90.00 90.00
Space group P4/mmm (No. 123)
Inequivalent atoms, fractional coordinates:
Nb (0.000, 0.000, 0.000)
Rh (0.500, 0.500, 0.500)
Se (0.500, 0.500, 0.000)
Br (0.000, 0.500, 0.500)

=====

# 17
The following is a PBE-GGA calculation of a relaxed structure of KSr3Pb, from Alexandria via LeMat-Bulk.

Calculated values
* magnetic moment: 0.00 μB per cell
* E_tot: -2.118 eV per atom
* DFT formation energy: -0.1473 eV/atom

a b c (Å): 6.586 6.586 6.586
angles (deg): 90.00 90.00 90.00
Space group Pm-3m (No. 221)
Inequivalent atoms, fractional coordinates:
K (0.000, 0.000, 0.000)
Sr (0.000, 0.500, 0.500)
Pb (0.500, 0.500, 0.500)

=====

# 18
The following is a PBE-GGA calculation of a relaxed structure of TaReMo14, from Alexandria via LeMat-Bulk.

Calculated values
* magnetic moment: 0.00 μB per cell
* E_tot: -11.033 eV per atom
* DFT formation energy: -0.0367 eV/atom

a b c (Å): 6.338 8.946 8.980
angles (deg): 90.00 90.00 90.00
Space group Cmmm (No. 65)
Inequivalent atoms, fractional coordinates:
Ta (0.000, 0.000, 0.000)
Re (0.000, 0.500, 0.000)
Mo (0.000, 0.000, 0.500)
Mo (0.000, 0.250, 0.250)
Mo (0.000, 0.500, 0.500)
Mo (0.249, 0.500, 0.252)
Mo (0.250, 0.250, 0.000)
Mo (0.250, 0.250, 0.500)

=====

# 19
The following is a PBE-GGA calculation of a relaxed structure of CsOsPt3, from Alexandria via LeMat-Bulk.

Calculated values
* magnetic moment: 0.00 μB per cell
* E_tot: -5.186 eV per atom
* DFT formation energy: 0.8546 eV/atom

a b c (Å): 4.988 4.988 4.988
angles (deg): 90.00 90.00 90.00
Space group Pm-3m (No. 221)
Inequivalent atoms, fractional coordinates:
Cs (0.000, 0.000, 0.000)
Os (0.500, 0.500, 0.500)
Pt (0.000, 0.500, 0.500)

=====

# 20
The following is a PBE-GGA calculation of a relaxed structure of V3MoN, from Alexandria via LeMat-Bulk.

Calculated values
* magnetic moment: 0.00 μB per cell
* E_tot: -9.730 eV per atom
* formation energy (no corrections): -428 meV per atom

a b c (Å): 3.962 3.962 3.962
angles (deg): 90.00 90.00 90.00
Space group Pm-3m (No. 221)
Inequivalent atoms, fractional coordinates:
V (0.000, 0.000, 0.500)
Mo (0.500, 0.500, 0.500)
N (0.000, 0.000, 0.000)